DFT (PBE+U) results for an optimized crystal structure of UV2AgO8.

Cell lengths 5.9094, 5.9094, 6.5842 Å; angles 90.00, 90.00, 120.00 degrees
Site moments in Bohr magnetons follow the coordinates.
Fractional coordinates of all 12 atoms:
O 0.6648 0.8324 0.8036  -0.01
O 0.1676 0.3352 0.8036  -0.01
V 0.6667 0.3333 0.2849  -0.01
O 0.3333 0.6667 0.4672  0.00
V 0.3333 0.6667 0.7151  -0.01
O 0.3352 0.1676 0.1964  -0.01
O 0.1676 0.8324 0.8036  -0.01
O 0.8324 0.1676 0.1964  -0.01
Ag 0.0000 0.0000 0.5000  0.00
U 0.0000 0.0000 0.0000  1.08
O 0.6667 0.3333 0.5328  0.00
O 0.8324 0.6648 0.1964  -0.01

Summary:
D(E_F), states/eV/atom: 0.115
VASP energy, eV/atom: -7.7306
Space-group type: P-3m1 (164)
Size of the total moment, μB/f.u.: 1.0
Mass density, Mg/m³: 4.80